Entry from Alexandria via LeMat-Bulk: Si3GeI after structural relaxation (PBE).

a = 4.9502 Å, b = 4.9502 Å, c = 4.9502 Å
α = 90.00°, β = 90.00°, γ = 90.00°
Last column: nearest neighbours and their distance in Å.
Fractional positions:
I 0.5000 0.5000 0.5000  12 Si 3.50
Ge 0.0000 0.0000 0.0000  6 Si 2.48
Si 0.0000 0.5000 0.0000  2 Ge 2.48
Si 0.0000 0.0000 0.5000  2 Ge 2.48
Si 0.5000 0.0000 0.0000  2 Ge 2.48

## Properties
Raw formation energy, meV per atom: 1051
Space group: No. 221
Offset from the most stable computed form, eV/atom: 0.000